w:
The following is a PBE-GGA calculation of a relaxed structure of Nd2Sm2Rh3, from Alexandria.

Unit cell a=7.637 b=7.637 c=7.637 alpha=109.47 beta=109.47 gamma=109.47
Fractional coordinates of all 14 atoms:
Sm 0.383 0.500 0.000
Sm 0.117 0.617 0.617
Sm 0.000 0.000 0.883
Sm 0.500 0.883 0.500
Rh 0.750 0.638 0.388
Rh 0.138 0.388 0.250
Rh 0.612 0.750 0.862
Rh 0.250 0.862 0.112
Rh 0.362 0.112 0.750
Rh 0.888 0.250 0.638
Nd 0.622 0.122 0.122
Nd 0.500 0.378 0.500
Nd 0.878 0.500 0.000
Nd 0.000 0.000 0.378

Calculated values
- D(E_F) (states/eV per cell) = 9.4
- space group = I2_13

=====

x:
The following is a PBE-GGA calculation of a relaxed structure of Nd2Sm2Rh3, from Alexandria.

Unit cell a=4.184 b=6.913 c=7.075 alpha=99.03 beta=89.92 gamma=107.66
Fractional coordinates of all 7 atoms:
Sm 0.372 0.746 0.107
Sm 0.628 0.254 0.893
Rh 0.760 0.524 0.256
Rh 0.240 0.476 0.744
Rh 0.000 0.000 0.000
Nd 0.132 0.266 0.363
Nd 0.868 0.734 0.637

Calculated values
- D(E_F) (states/eV per cell) = 3.9
- space group = P-1

=====

Most stable structure - w; separation to the second - 83 meV/atom.

=====

w:
The following is a PBE-GGA calculation of a relaxed structure of NdSmTlRh, from Alexandria.

Unit cell a=5.250 b=5.250 c=5.250 alpha=60.00 beta=60.00 gamma=60.00
Fractional coordinates of all 4 atoms:
Tl 0.000 0.000 0.000
Nd 0.750 0.750 0.750
Rh 0.500 0.500 0.500
Sm 0.250 0.250 0.250

Calculated values
- D(E_F) (states/eV per cell) = 3.4
- space group = F-43m

=====

x:
The following is a PBE-GGA calculation of a relaxed structure of NdSmTlRh, from Alexandria.

Unit cell a=3.580 b=3.580 c=8.012 alpha=90.00 beta=90.00 gamma=90.00
Fractional coordinates of all 4 atoms:
Nd 0.500 0.500 0.784
Rh 0.000 0.000 0.565
Sm 0.500 0.500 0.360
Tl 0.000 0.000 0.076

Calculated values
- D(E_F) (states/eV per cell) = 3.5
- space group = P4mm

=====

Most stable structure - x; separation to the second - 119 meV/atom.

=====

w:
The following is a PBE-GGA calculation of a relaxed structure of NdSnRh4, from Alexandria.

Unit cell a=4.134 b=7.053 c=7.627 alpha=90.00 beta=90.00 gamma=90.00
Fractional coordinates of all 12 atoms:
Rh 0.500 0.036 0.250
Rh 0.500 0.700 0.037
Rh 0.500 0.300 0.537
Rh 0.500 0.700 0.463
Rh 0.000 0.000 0.500
Rh 0.000 0.000 0.000
Rh 0.500 0.300 0.963
Rh 0.500 0.964 0.750
Sn 0.000 0.755 0.250
Sn 0.000 0.245 0.750
Nd 0.000 0.325 0.250
Nd 0.000 0.675 0.750

Calculated values
- D(E_F) (states/eV per cell) = 12.8
- space group = Pmma

=====

x:
The following is a PBE-GGA calculation of a relaxed structure of NdSnRh4, from Alexandria.

Unit cell a=5.341 b=5.341 c=5.341 alpha=60.00 beta=60.00 gamma=60.00
Fractional coordinates of all 6 atoms:
Rh 0.122 0.626 0.626
Rh 0.626 0.122 0.626
Rh 0.626 0.626 0.122
Rh 0.626 0.626 0.626
Sn 0.000 0.000 0.000
Nd 0.250 0.250 0.250

Calculated values
- D(E_F) (states/eV per cell) = 5.2
- space group = F-43m

=====

Most stable structure - x; separation to the second - 147 meV/atom.

=====

w:
The following is a PBE-GGA calculation of a relaxed structure of Nd3Sn4Rh2, from Alexandria.

Unit cell a=4.638 b=6.235 c=9.285 alpha=66.32 beta=75.54 gamma=68.17
Fractional coordinates of all 9 atoms:
Sn 0.912 0.783 0.392
Sn 0.294 0.332 0.079
Sn 0.706 0.668 0.921
Sn 0.088 0.217 0.608
Nd 0.000 0.000 0.000
Nd 0.631 0.425 0.313
Nd 0.369 0.575 0.687
Rh 0.305 0.011 0.379
Rh 0.695 0.989 0.621

Calculated values
- D(E_F) (states/eV per cell) = 5.2
- space group = C2/m

=====

x:
The following is a PBE-GGA calculation of a relaxed structure of Nd3Sn4Rh2, from Alexandria.

Unit cell a=4.493 b=6.097 c=9.057 alpha=100.13 beta=90.00 gamma=111.62
Fractional coordinates of all 9 atoms:
Sn 0.919 0.837 0.341
Sn 0.303 0.607 0.923
Sn 0.697 0.393 0.077
Sn 0.081 0.163 0.659
Nd 0.630 0.260 0.393
Nd 0.000 0.000 0.000
Nd 0.370 0.740 0.607
Rh 0.306 0.611 0.228
Rh 0.694 0.389 0.772

Calculated values
- D(E_F) (states/eV per cell) = 6.6
- space group = C2/m

=====

Most stable structure - w; separation to the second - 106 meV/atom.

=====

w:
The following is a PBE-GGA calculation of a relaxed structure of Nd2Sn2Rh, from Alexandria.

Unit cell a=4.599 b=6.097 c=10.325 alpha=88.46 beta=77.13 gamma=67.84
Fractional coordinates of all 10 atoms:
Sn 0.894 0.763 0.449
Sn 0.643 0.832 0.881
Sn 0.357 0.168 0.119
Sn 0.106 0.237 0.551
Nd 0.331 0.669 0.670
Nd 0.669 0.331 0.330
Nd 0.937 0.251 0.875
Nd 0.063 0.749 0.125
Rh 0.392 0.884 0.332
Rh 0.608 0.116 0.668

Calculated values
- D(E_F) (states/eV per cell) = 6.0
- space group = C2/m

=====

x:
The following is a PBE-GGA calculation of a relaxed structure of Nd2Sn2Rh, from Alexandria.

Unit cell a=6.381 b=6.786 c=8.077 alpha=114.84 beta=113.27 gamma=90.00
Fractional coordinates of all 10 atoms:
Rh 0.750 0.500 0.000
Rh 0.250 0.500 0.000
Sn 0.122 0.845 0.244
Sn 0.878 0.155 0.756
Sn 0.378 0.601 0.756
Sn 0.622 0.399 0.244
Nd 0.628 0.919 0.256
Nd 0.872 0.663 0.744
Nd 0.372 0.081 0.744
Nd 0.128 0.337 0.256

Calculated values
- D(E_F) (states/eV per cell) = 11.1
- space group = Ibam

=====

Most stable structure - w; separation to the second - 181 meV/atom.

=====

w:
The following is a PBE-GGA calculation of a relaxed structure of Nd4SnRh, from Alexandria.

Unit cell a=6.298 b=6.984 c=10.191 alpha=90.00 beta=125.05 gamma=90.00
Fractional coordinates of all 12 atoms:
Rh 0.249 0.250 0.560
Rh 0.751 0.750 0.440
Sn 0.348 0.250 0.049
Sn 0.652 0.750 0.951
Nd 0.888 0.004 0.281
Nd 0.479 0.750 0.585
Nd 0.112 0.996 0.719
Nd 0.112 0.504 0.719
Nd 0.726 0.250 0.881
Nd 0.274 0.750 0.119
Nd 0.888 0.496 0.281
Nd 0.521 0.250 0.415

Calculated values
- D(E_F) (states/eV per cell) = 11.4
- space group = P2_1/m

=====

x:
The following is a PBE-GGA calculation of a relaxed structure of Nd4SnRh, from Alexandria.

Unit cell a=6.184 b=8.460 c=8.429 alpha=113.75 beta=103.37 gamma=105.67
Fractional coordinates of all 12 atoms:
Nd 0.955 0.791 0.138
Nd 0.045 0.209 0.862
Nd 0.356 0.931 0.632
Nd 0.317 0.652 0.862
Nd 0.776 0.701 0.632
Nd 0.224 0.299 0.368
Nd 0.683 0.348 0.138
Nd 0.644 0.069 0.368
Rh 0.249 0.999 0.999
Rh 0.751 0.001 0.001
Sn 0.627 0.377 0.753
Sn 0.373 0.623 0.247

Calculated values
- D(E_F) (states/eV per cell) = 13.2
- space group = C2/c

=====

Most stable structure - w; separation to the second - 10 meV/atom.

=====

w:
The following is a PBE-GGA calculation of a relaxed structure of Nd2Sn5Rh3, from Alexandria.

Unit cell a=4.514 b=7.310 c=13.581 alpha=90.00 beta=99.57 gamma=90.00
Fractional coordinates of all 20 atoms:
Sn 0.879 0.757 0.758
Sn 0.710 0.013 0.420
Sn 0.404 0.380 0.808
Sn 0.121 0.257 0.242
Sn 0.596 0.880 0.192
Sn 0.290 0.513 0.580
Sn 0.294 0.936 0.589
Sn 0.049 0.590 0.097
Sn 0.951 0.090 0.903
Sn 0.706 0.436 0.411
Rh 0.777 0.723 0.555
Rh 0.393 0.008 0.787
Rh 0.607 0.508 0.213
Rh 0.223 0.223 0.445
Rh 0.051 0.973 0.102
Rh 0.949 0.473 0.898
Nd 0.476 0.754 0.951
Nd 0.828 0.231 0.655
Nd 0.172 0.731 0.345
Nd 0.524 0.254 0.049

Calculated values
- D(E_F) (states/eV per cell) = 10.3
- space group = Cmc2_1

=====

x:
The following is a PBE-GGA calculation of a relaxed structure of Nd2Sn5Rh3, from Alexandria.

Unit cell a=6.420 b=9.042 c=9.042 alpha=74.05 beta=69.20 gamma=69.20
Fractional coordinates of all 20 atoms:
Sn 0.250 0.500 0.500
Sn 0.585 0.745 0.086
Sn 0.469 0.781 0.781
Sn 0.031 0.219 0.219
Sn 0.531 0.219 0.219
Sn 0.969 0.781 0.781
Sn 0.750 0.500 0.500
Sn 0.085 0.086 0.745
Sn 0.415 0.255 0.914
Sn 0.915 0.914 0.255
Nd 0.353 0.874 0.420
Nd 0.647 0.126 0.580
Nd 0.147 0.580 0.126
Nd 0.853 0.420 0.874
Rh 0.858 0.746 0.539
Rh 0.358 0.539 0.746
Rh 0.250 0.000 0.000
Rh 0.750 0.000 0.000
Rh 0.642 0.461 0.254
Rh 0.142 0.254 0.461

Calculated values
- D(E_F) (states/eV per cell) = 14.0
- space group = Ibam

=====

Most stable structure - w; separation to the second - 34 meV/atom.

=====

w:
The following is a PBE-GGA calculation of a relaxed structure of Nd3SnRh3, from Alexandria.

Unit cell a=4.468 b=5.756 c=13.620 alpha=90.00 beta=90.00 gamma=112.84
Fractional coordinates of all 14 atoms:
Rh 0.913 0.825 0.594
Rh 0.756 0.513 0.750
Rh 0.244 0.487 0.250
Rh 0.087 0.175 0.406
Rh 0.913 0.825 0.906
Rh 0.087 0.175 0.094
Sn 0.500 0.000 0.500
Sn 0.500 0.000 0.000
Nd 0.796 0.592 0.395
Nd 0.204 0.408 0.605
Nd 0.484 0.969 0.750
Nd 0.796 0.592 0.105
Nd 0.516 0.031 0.250
Nd 0.204 0.408 0.895

Calculated values
- D(E_F) (states/eV per cell) = 12.3
- space group = Cmcm

=====

x:
The following is a PBE-GGA calculation of a relaxed structure of Nd3SnRh3, from Alexandria.

Unit cell a=4.738 b=9.010 c=9.010 alpha=120.00 beta=90.00 gamma=90.00
Fractional coordinates of all 14 atoms:
Rh 0.750 0.156 0.192
Rh 0.250 0.192 0.036
Rh 0.250 0.964 0.156
Rh 0.250 0.844 0.808
Rh 0.750 0.808 0.964
Rh 0.750 0.036 0.844
Nd 0.750 0.403 0.079
Nd 0.250 0.324 0.403
Nd 0.250 0.597 0.921
Nd 0.250 0.079 0.676
Nd 0.750 0.676 0.597
Nd 0.750 0.921 0.324
Sn 0.250 0.667 0.333
Sn 0.750 0.333 0.667

Calculated values
- D(E_F) (states/eV per cell) = 9.4
- space group = P6_3/m

=====

Most stable structure - w; separation to the second - 182 meV/atom.

=====

w:
The following is a PBE-GGA calculation of a relaxed structure of SrNd2Rh2, from Alexandria.

Unit cell a=4.273 b=5.764 c=6.556 alpha=106.95 beta=109.02 gamma=90.00
Fractional coordinates of all 5 atoms:
Nd 0.663 0.627 0.327
Nd 0.337 0.373 0.673
Rh 0.703 0.147 0.405
Rh 0.297 0.853 0.595
Sr 0.000 0.000 0.000

Calculated values
- D(E_F) (states/eV per cell) = 3.7
- space group = C2/m

=====

x:
The following is a PBE-GGA calculation of a relaxed structure of SrNd2Rh2, from Alexandria.

Unit cell a=3.985 b=8.368 c=9.622 alpha=99.80 beta=78.05 gamma=76.16
Fractional coordinates of all 10 atoms:
Rh 0.586 0.669 0.159
Rh 0.359 0.651 0.631
Rh 0.641 0.349 0.369
Rh 0.414 0.331 0.841
Sr 0.334 0.045 0.288
Sr 0.666 0.955 0.712
Nd 0.821 0.311 0.048
Nd 0.985 0.392 0.639
Nd 0.179 0.689 0.952
Nd 0.015 0.608 0.361

Calculated values
- D(E_F) (states/eV per cell) = 4.8
- space group = P-1

=====

Most stable structure - x; separation to the second - 55 meV/atom.

=====

w:
The following is a PBE-GGA calculation of a relaxed structure of NdTaRh2, from Alexandria.

Unit cell a=3.202 b=3.202 c=7.481 alpha=90.00 beta=90.00 gamma=90.00
Fractional coordinates of all 4 atoms:
Ta 0.500 0.500 0.000
Rh 0.000 0.000 0.804
Rh 0.000 0.000 0.196
Nd 0.500 0.500 0.500

Calculated values
- D(E_F) (states/eV per cell) = 3.2
- space group = P4/mmm

=====

x:
The following is a PBE-GGA calculation of a relaxed structure of NdTaRh2, from Alexandria.

Unit cell a=4.338 b=4.338 c=5.712 alpha=67.68 beta=67.68 gamma=60.00
Fractional coordinates of all 4 atoms:
Rh 0.215 0.215 0.356
Rh 0.785 0.785 0.644
Ta 0.500 0.500 0.500
Nd 0.000 0.000 0.000

Calculated values
- D(E_F) (states/eV per cell) = 4.1
- space group = R-3m

=====

Most stable structure - w; separation to the second - 71 meV/atom.

=====

w:
The following is a PBE-GGA calculation of a relaxed structure of Tb2Nd2Rh3, from Alexandria.

Unit cell a=7.574 b=7.574 c=7.574 alpha=109.47 beta=109.47 gamma=109.47
Fractional coordinates of all 14 atoms:
Tb 0.387 0.500 0.000
Tb 0.113 0.613 0.613
Tb 0.500 0.887 0.500
Tb 0.000 0.000 0.887
Rh 0.250 0.844 0.094
Rh 0.344 0.094 0.750
Rh 0.906 0.250 0.656
Rh 0.750 0.656 0.406
Rh 0.156 0.406 0.250
Rh 0.594 0.750 0.844
Nd 0.626 0.126 0.126
Nd 0.874 0.500 0.000
Nd 0.000 0.000 0.374
Nd 0.500 0.374 0.500

Calculated values
- D(E_F) (states/eV per cell) = 7.1
- space group = I2_13

=====

x:
The following is a PBE-GGA calculation of a relaxed structure of Tb2Nd2Rh3, from Alexandria.

Unit cell a=4.403 b=6.104 c=7.471 alpha=99.19 beta=89.90 gamma=111.16
Fractional coordinates of all 7 atoms:
Rh 0.801 0.605 0.265
Rh 0.199 0.395 0.735
Rh 0.000 0.000 0.000
Nd 0.868 0.733 0.644
Nd 0.132 0.267 0.356
Tb 0.637 0.274 0.928
Tb 0.363 0.726 0.072

Calculated values
- D(E_F) (states/eV per cell) = 3.2
- space group = P-1

=====

Most stable structure - w; separation to the second - 78 meV/atom.